1.
SnPtS2Cl | meta-GGA SCAN | PBEsol geometry

Cell and atoms, written as CIF:
```
data_SnPtS2Cl
_chemical_formula_sum 'Sn1 Pt1 S2 Cl1'
_symmetry_space_group_name_H-M 'P 1'
_symmetry_Int_Tables_number 1
_cell_length_a 4.704
_cell_length_b 4.704
_cell_length_c 4.726
_cell_angle_alpha 90.00
_cell_angle_beta 90.00
_cell_angle_gamma 90.00
loop_
_symmetry_equiv_pos_as_xyz
'x,y,z'
loop_
_atom_site_label
_atom_site_type_symbol
_atom_site_fract_x
_atom_site_fract_y
_atom_site_fract_z
Cl1 Cl 0.000 0.000 0.500
S1 S 0.000 0.500 0.000
Sn1 Sn 0.500 0.500 0.500
S2 S 0.500 0.000 0.000
Pt1 Pt 0.000 0.000 0.000
```

Properties
Energy relative to the elements, uncorrected, eV/atom: 0.00
Calculated density, g cm⁻³: 6.56

***

2.
InReS2Cl | meta-GGA SCAN | PBEsol geometry

Cell and atoms, written as CIF:
```
data_InReS2Cl
_chemical_formula_sum 'In1 Re1 S2 Cl1'
_symmetry_space_group_name_H-M 'P 1'
_symmetry_Int_Tables_number 1
_cell_length_a 4.559
_cell_length_b 4.559
_cell_length_c 5.068
_cell_angle_alpha 90.00
_cell_angle_beta 90.00
_cell_angle_gamma 90.00
loop_
_symmetry_equiv_pos_as_xyz
'x,y,z'
loop_
_atom_site_label
_atom_site_type_symbol
_atom_site_fract_x
_atom_site_fract_y
_atom_site_fract_z
In1 In 0.500 0.500 0.500
Cl1 Cl 0.000 0.000 0.500
Re1 Re 0.000 0.000 0.000
S1 S 0.000 0.500 0.000
S2 S 0.500 0.000 0.000
```

Properties
Energy relative to the elements, uncorrected, eV/atom: -0.07
Energy above the most stable polymorph in this dataset, eV per formula unit: 0.00
Calculated density, g cm⁻³: 6.32

***

3.
Te2PtN2 | meta-GGA SCAN | PBEsol geometry

Cell and atoms, written as CIF:
```
data_Te2PtN2
_chemical_formula_sum 'Te2 Pt1 N2'
_symmetry_space_group_name_H-M 'P 1'
_symmetry_Int_Tables_number 1
_cell_length_a 3.894
_cell_length_b 3.894
_cell_length_c 7.348
_cell_angle_alpha 90.00
_cell_angle_beta 90.00
_cell_angle_gamma 90.00
loop_
_symmetry_equiv_pos_as_xyz
'x,y,z'
loop_
_atom_site_label
_atom_site_type_symbol
_atom_site_fract_x
_atom_site_fract_y
_atom_site_fract_z
Te1 Te 0.000 0.000 0.500
N1 N 0.500 0.000 0.000
Te2 Te 0.500 0.500 0.500
Pt1 Pt 0.000 0.000 0.000
N2 N 0.000 0.500 0.000
```

Properties
Energy relative to the elements, uncorrected, eV/atom: 1.28
Calculated density, g cm⁻³: 7.13

***

4.
Ag2PtAu | meta-GGA SCAN | PBEsol geometry

Cell and atoms, written as CIF:
```
data_Ag2PtAu
_chemical_formula_sum 'Ag2 Pt1 Au1'
_symmetry_space_group_name_H-M 'P 1'
_symmetry_Int_Tables_number 1
_cell_length_a 4.510
_cell_length_b 4.510
_cell_length_c 4.510
_cell_angle_alpha 60.00
_cell_angle_beta 60.00
_cell_angle_gamma 60.00
loop_
_symmetry_equiv_pos_as_xyz
'x,y,z'
loop_
_atom_site_label
_atom_site_type_symbol
_atom_site_fract_x
_atom_site_fract_y
_atom_site_fract_z
Ag1 Ag 0.750 0.750 0.750
Au1 Au 0.500 0.500 0.500
Ag2 Ag 0.000 0.000 0.000
Pt1 Pt 0.250 0.250 0.250
```

Properties
DFT formation energy, eV/atom: 0.024
Energy above the most stable polymorph in this dataset, eV per formula unit: 0.31
Calculated density, g cm⁻³: 15.56

***

5.
TlHgPb2 | meta-GGA SCAN | PBEsol geometry

Cell and atoms, written as CIF:
```
data_TlHgPb2
_chemical_formula_sum 'Tl1 Hg1 Pb2'
_symmetry_space_group_name_H-M 'P 1'
_symmetry_Int_Tables_number 1
_cell_length_a 3.498
_cell_length_b 4.482
_cell_length_c 7.583
_cell_angle_alpha 90.00
_cell_angle_beta 112.71
_cell_angle_gamma 90.00
loop_
_symmetry_equiv_pos_as_xyz
'x,y,z'
loop_
_atom_site_label
_atom_site_type_symbol
_atom_site_fract_x
_atom_site_fract_y
_atom_site_fract_z
Pb1 Pb 0.763 0.000 0.737
Tl1 Tl 0.500 0.500 0.000
Pb2 Pb 0.237 0.000 0.263
Hg1 Hg 0.000 0.500 0.500
```

Properties
DFT formation energy, eV/atom: 0.022
Calculated density, g cm⁻³: 12.41

***

6.
SrY2Ta | meta-GGA SCAN | PBEsol geometry

Cell and atoms, written as CIF:
```
data_SrY2Ta
_chemical_formula_sum 'Sr1 Y2 Ta1'
_symmetry_space_group_name_H-M 'P 1'
_symmetry_Int_Tables_number 1
_cell_length_a 3.252
_cell_length_b 5.572
_cell_length_c 6.818
_cell_angle_alpha 94.75
_cell_angle_beta 90.00
_cell_angle_gamma 106.97
loop_
_symmetry_equiv_pos_as_xyz
'x,y,z'
loop_
_atom_site_label
_atom_site_type_symbol
_atom_site_fract_x
_atom_site_fract_y
_atom_site_fract_z
Y1 Y 0.255 0.510 0.799
Y2 Y 0.007 0.015 0.036
Sr1 Sr 0.494 0.987 0.483
Ta1 Ta 0.744 0.488 0.182
```

Properties
DFT formation energy, eV/atom: 0.623
Energy above the most stable polymorph in this dataset, eV per formula unit: 0.90
Calculated density, g cm⁻³: 6.29

***

7.
Cs2ScInBr6 | meta-GGA SCAN | PBEsol geometry

Cell and atoms, written as CIF:
```
data_Cs2ScInBr6
_chemical_formula_sum 'Cs2 Sc1 In1 Br6'
_symmetry_space_group_name_H-M 'P 1'
_symmetry_Int_Tables_number 1
_cell_length_a 8.046
_cell_length_b 8.046
_cell_length_c 8.046
_cell_angle_alpha 60.00
_cell_angle_beta 60.00
_cell_angle_gamma 60.00
loop_
_symmetry_equiv_pos_as_xyz
'x,y,z'
loop_
_atom_site_label
_atom_site_type_symbol
_atom_site_fract_x
_atom_site_fract_y
_atom_site_fract_z
Br1 Br 0.769 0.231 0.769
Br2 Br 0.769 0.231 0.231
In1 In 0.500 0.500 0.500
Br3 Br 0.231 0.769 0.231
Br4 Br 0.231 0.769 0.769
Br5 Br 0.769 0.769 0.231
Cs1 Cs 0.250 0.250 0.250
Br6 Br 0.231 0.231 0.769
Cs2 Cs 0.750 0.750 0.750
Sc1 Sc 0.000 0.000 0.000
```

Properties
Energy relative to the elements, uncorrected, eV/atom: -1.74
Calculated density, g cm⁻³: 4.08

***

8.
Tl16O15F17 | meta-GGA SCAN | PBEsol geometry

Cell and atoms, written as CIF:
```
data_Tl16O15F17
_chemical_formula_sum 'Tl16 O15 F17'
_symmetry_space_group_name_H-M 'P 1'
_symmetry_Int_Tables_number 1
_cell_length_a 9.432
_cell_length_b 9.432
_cell_length_c 9.532
_cell_angle_alpha 109.69
_cell_angle_beta 109.69
_cell_angle_gamma 108.48
loop_
_symmetry_equiv_pos_as_xyz
'x,y,z'
loop_
_atom_site_label
_atom_site_type_symbol
_atom_site_fract_x
_atom_site_fract_y
_atom_site_fract_z
Tl1 Tl 0.236 0.497 0.262
F1 F 0.530 0.257 0.018
O1 O 0.008 0.253 0.492
Tl2 Tl 0.766 0.488 0.732
O2 O 0.265 0.517 0.504
F2 F 0.029 0.258 0.016
Tl3 Tl 0.520 0.027 0.507
F3 F 0.689 0.689 0.232
F4 F 0.258 0.029 0.016
Tl4 Tl 0.787 0.787 0.525
O3 O 0.979 0.492 0.224
F5 F 0.735 0.517 0.982
Tl5 Tl 0.762 0.263 0.982
F6 F 0.719 0.522 0.485
O4 O 0.492 0.979 0.224
O5 O 0.253 0.008 0.492
F7 F 0.028 0.745 0.017
F8 F 0.745 0.028 0.017
F9 F 0.522 0.719 0.485
O6 O 0.795 0.279 0.769
Tl6 Tl 0.497 0.236 0.262
O7 O 0.998 0.750 0.496
O8 O 0.532 0.017 0.741
Tl7 Tl 0.235 0.235 0.503
O9 O 0.017 0.532 0.741
Tl8 Tl 0.263 0.762 0.982
F10 F 0.517 0.735 0.982
O10 O 0.750 0.998 0.496
O11 O 0.946 0.946 0.208
Tl9 Tl 0.007 0.754 0.264
Tl10 Tl 0.982 0.982 0.005
O12 O 0.517 0.265 0.504
Tl11 Tl 0.754 0.007 0.264
F11 F 0.274 0.755 0.285
Tl12 Tl 0.488 0.766 0.732
Tl13 Tl 0.248 0.999 0.731
F12 F 0.257 0.530 0.018
Tl14 Tl 0.999 0.248 0.731
F13 F 0.223 0.223 0.258
O13 O 0.982 0.982 0.784
F14 F 0.755 0.274 0.285
F15 F 0.424 0.424 0.197
O14 O 0.242 0.242 0.777
O15 O 0.279 0.795 0.769
Tl15 Tl 0.476 0.476 0.983
Tl16 Tl 0.027 0.520 0.507
F16 F 0.721 0.721 0.779
F17 F 0.469 0.469 0.739
```

Properties
Energy relative to the elements, uncorrected, eV/atom: -1.28
Calculated density, g cm⁻³: 9.69

***

9.
SiPb2Au | meta-GGA SCAN | PBEsol geometry

Cell and atoms, written as CIF:
```
data_SiPb2Au
_chemical_formula_sum 'Si1 Pb2 Au1'
_symmetry_space_group_name_H-M 'P 1'
_symmetry_Int_Tables_number 1
_cell_length_a 4.301
_cell_length_b 4.301
_cell_length_c 5.822
_cell_angle_alpha 111.68
_cell_angle_beta 111.68
_cell_angle_gamma 90.00
loop_
_symmetry_equiv_pos_as_xyz
'x,y,z'
loop_
_atom_site_label
_atom_site_type_symbol
_atom_site_fract_x
_atom_site_fract_y
_atom_site_fract_z
Au1 Au 0.250 0.750 0.500
Si1 Si 0.500 0.500 0.000
Pb1 Pb 0.750 0.250 0.500
Pb2 Pb 0.000 0.000 0.000
```

Properties
Energy relative to the elements, uncorrected, eV/atom: 0.40
Calculated density, g cm⁻³: 11.56

***

10.
InSiTe2N | meta-GGA SCAN | PBEsol geometry

Cell and atoms, written as CIF:
```
data_InSiTe2N
_chemical_formula_sum 'In1 Si1 Te2 N1'
_symmetry_space_group_name_H-M 'P 1'
_symmetry_Int_Tables_number 1
_cell_length_a 3.293
_cell_length_b 5.728
_cell_length_c 5.728
_cell_angle_alpha 90.00
_cell_angle_beta 90.00
_cell_angle_gamma 90.00
loop_
_symmetry_equiv_pos_as_xyz
'x,y,z'
loop_
_atom_site_label
_atom_site_type_symbol
_atom_site_fract_x
_atom_site_fract_y
_atom_site_fract_z
Te1 Te 0.000 0.500 0.000
Te2 Te 0.000 0.000 0.500
In1 In 0.500 0.500 0.500
N1 N 0.500 0.000 0.000
Si1 Si 0.000 0.000 0.000
```

Properties
Energy relative to the elements, uncorrected, eV/atom: 0.09
Calculated density, g cm⁻³: 6.33